Here is a relaxed Cs3NiAg2Cl6 crystal from Alexandria. Energies are from PBE.

Geometry as extended XYZ:
```
12
Lattice="-3.595 -3.723 5.659 -1.298 -1.949 -7.303 6.478 -5.695 0.368" Properties=species:S:1:pos:R:3 pbc="T T T"
Ag 2.076 -7.444 1.617
Ag -0.491 -3.923 -2.893
Ni 3.239 -2.847 0.184
Cl 1.163 -2.989 -1.227
Cl 1.133 -7.309 3.958
Cl 0.451 -4.058 -5.233
Cl 0.421 -8.378 -0.048
Cl -1.521 -6.100 -2.129
Cl 3.105 -5.267 0.853
Cs 0.000 0.000 0.000
Cs 2.167 -6.259 -2.742
Cs -0.582 -5.107 1.466
```

Values from the calculation:
- calculated volume (Å³/cell) = 439.7
- energy relative to the elements, uncorrected (eV/atom) = -1.04
- total moment (μB per cell) = 1.1